Here is an optimized crystal structure of NaMg2Al6VSi6B3H3O31 from Alexandria via LeMat-Bulk. Energies are from GGA+U.

Properties
Crystal system ... monoclinic
E ... -7.366 eV/atom
D(E_F) ... 0.00 states/eV/f.u.

a b c (Å): 7.2483 9.6121 9.6126
angles (deg): 113.93 104.59 104.49
Each line ends with the local moment (μB).
Positions (direct):
O: 0.8395 0.7207 0.0000  0.00
Al: 0.6529 0.5624 0.2279  0.00
V: 0.4238 0.1801 0.0000  1.90
Na: 0.7736 0.9951 0.0000  0.00
O: 0.8383 0.0001 0.7217  0.00
O: 0.3488 0.5166 0.8508  0.00
O: 0.0286 0.7943 0.6132  0.00
H: 0.7545 0.3930 0.0000  0.00
Mg: 0.2465 0.8156 0.8174  0.00
O: 0.8312 0.4838 0.3343  0.00
O: 0.6235 0.9999 0.4025  0.00
Al: 0.4264 0.7758 0.3342  0.00
O: 0.2329 0.2058 0.8179  0.00
O: 0.1166 0.2784 0.2783  0.00
O: 0.0276 0.6123 0.7932  0.00
O: 0.0058 0.2831 0.0000  0.00
O: 0.6213 0.3982 0.0000  -0.01
Al: 0.4249 0.3345 0.7721  0.00
O: 0.4643 0.8133 0.0000  0.00
O: 0.0059 0.9998 0.2803  0.00
O: 0.4969 0.1495 0.6657  0.00
O: 0.4153 0.1810 0.3868  0.00
O: 0.4638 0.0015 0.8139  0.00
Si: 0.1938 0.1882 0.3813  0.00
Si: 0.1917 0.3823 0.1890  0.00
O: 0.3503 0.8511 0.5184  0.00
O: 0.9203 0.7126 0.2834  0.00
O: 0.2210 0.5974 0.5975  0.00
O: 0.6370 0.7171 0.4299  0.00
O: 0.7257 0.7195 0.7197  0.00
Si: 0.8125 0.8069 0.6187  0.00
Si: 0.8120 0.6176 0.8065  0.00
Al: 0.0922 0.4416 0.6658  0.00
O: 0.9194 0.2825 0.7114  0.00
Mg: 0.4291 0.9982 0.1826  0.00
O: 0.6369 0.4292 0.7166  0.00
B: 0.7704 0.3328 0.3320  0.00
H: 0.3584 0.6013 0.6016  0.00
O: 0.2280 0.0105 0.0000  -0.01
B: 0.4384 0.0008 0.6680  0.00
O: 0.4980 0.6659 0.1492  0.00
O: 0.4150 0.3879 0.1821  0.00
Si: 0.0055 0.8111 0.1935  0.00
H: 0.7568 0.9998 0.3985  0.00
O: 0.2345 0.8192 0.2068  0.00
Si: 0.0027 0.1932 0.8110  0.00
B: 0.4392 0.6690 0.0000  0.00
Al: 0.6505 0.2242 0.5574  0.00
O: 0.2080 0.5711 0.2886  0.00
O: 0.2071 0.2871 0.5701  0.00
O: 0.6498 0.1875 0.1861  0.00
Al: 0.0931 0.6668 0.4426  0.00
O: 0.8319 0.3328 0.4816  0.00